Entry one
Here is a relaxed structure of Tb3YEr7 from Alexandria. Energies are from PBE.

Output
- Magnetization: 0.000 Bohr magnetons per cell
- Calculated volume: 351.0 Å³ per cell

a = 6.9217 Å, b = 5.4765 Å, c = 9.8608 Å
α = 90.00°, β = 110.13°, γ = 90.00°
Closest atoms and distances in Å follow each position.
Positions (direct):
Tb 0.0000 0.0000 0.0000  2 Y 3.46, 10 Er 3.49-3.78
Tb 0.2194 0.5000 0.5014  1 Tb 3.03, 4 Er 3.31-3.36
Tb 0.7806 0.5000 0.4986  1 Tb 3.03, 4 Er 3.31-3.36
Y 0.5000 0.0000 0.0000  2 Tb 3.46, 10 Er 3.50-3.78
Er 0.0815 0.0000 0.6695  3 Er 3.14-3.25, 5 Tb 3.49-3.50
Er 0.1797 0.5000 0.8595  5 Er 3.24-3.53, 2 Tb 3.49, 2 Y 3.50
Er 0.3533 0.5000 0.2099  3 Er 3.24-3.53, 2 Tb 3.31-3.33
Er 0.5000 0.0000 0.5000  4 Tb 3.36
Er 0.6467 0.5000 0.7901  3 Er 3.24-3.53, 2 Tb 3.31-3.33
Er 0.8203 0.5000 0.1405  5 Er 3.24-3.53, 2 Tb 3.49, 2 Y 3.50
Er 0.9185 0.0000 0.3305  3 Er 3.14-3.25, 5 Tb 3.49-3.50

=====

Entry two
Here is a relaxed structure of Tb3YEr7 from Alexandria. Energies are from PBE.

Output
- Magnetization: 0.406 Bohr magnetons per cell
- Calculated volume: 354.2 Å³ per cell

a = 8.3589 Å, b = 8.3589 Å, c = 8.3589 Å
α = 139.77°, β = 96.88°, γ = 96.70°
Closest atoms and distances in Å follow each position.
Positions (direct):
Tb 0.0000 0.0000 0.0000  4 Er 3.15
Tb 0.2094 0.5000 0.7094  5 Er 3.22-3.43
Tb 0.7906 0.5000 0.2906  5 Er 3.22-3.43
Y 0.5000 0.0000 0.5000  2 Er 2.87
Er 0.0109 0.2063 0.8046  2 Tb 3.15-3.43, 3 Er 3.27-3.52
Er 0.2056 0.7056 0.5000  2 Tb 3.26, 1 Y 3.27, 6 Er 3.52-3.60
Er 0.4018 0.2063 0.1954  2 Tb 3.15-3.43, 3 Er 3.27-3.52
Er 0.5000 0.5000 0.0000  2 Y 2.87
Er 0.5982 0.7937 0.8046  2 Tb 3.15-3.43, 3 Er 3.27-3.52
Er 0.7944 0.2944 0.5000  2 Tb 3.26, 1 Y 3.27, 6 Er 3.52-3.60
Er 0.9891 0.7937 0.1954  2 Tb 3.15-3.43, 3 Er 3.27-3.52

=====

Of them, the most stable is entry one and the least stable is entry two.

=====

Entry one
Here is a relaxed structure of Tb3YEr4 from Alexandria. Energies are from PBE.

Output
- Magnetization: 0.001 Bohr magnetons per cell
- Calculated volume: 257.5 Å³ per cell

a = 11.8145 Å, b = 11.8145 Å, c = 11.8145 Å
α = 163.09°, β = 147.49°, γ = 36.86°
Closest atoms and distances in Å follow each position.
Positions (direct):
Tb 0.0000 0.0000 0.0000  2 Tb 3.47, 8 Er 3.67, 4 Y 3.74
Tb 0.2389 0.2389 0.0000  6 Tb 3.47-3.77, 6 Er 3.49
Tb 0.7611 0.7611 0.0000  6 Tb 3.47-3.77, 6 Er 3.49
Y 0.5000 0.5000 0.0000  4 Er 3.27, 2 Y 3.47
Er 0.1198 0.3752 0.7446  4 Er 3.24-3.47, 1 Y 3.27, 3 Tb 3.49
Er 0.3694 0.6248 0.7446  4 Er 3.24-3.47, 1 Y 3.27, 3 Tb 3.49
Er 0.6306 0.3752 0.2554  4 Er 3.24-3.47, 1 Y 3.27, 3 Tb 3.49
Er 0.8802 0.6248 0.2554  4 Er 3.24-3.47, 1 Y 3.27, 3 Tb 3.49

=====

Entry two
Here is a relaxed structure of Tb3YEr4 from Alexandria. Energies are from PBE.

Output
- Magnetization: 0.008 Bohr magnetons per cell
- Calculated volume: 507.6 Å³ per cell

a = 11.1995 Å, b = 7.2409 Å, c = 6.2588 Å
α = 90.00°, β = 90.00°, γ = 90.00°
Closest atoms and distances in Å follow each position.
Positions (direct):
Tb 0.0000 0.1267 0.0000  6 Er 3.49-3.65, 4 Tb 3.50, 2 Y 3.62-3.63
Tb 0.2503 0.1266 0.3341  6 Er 3.49-3.64, 2 Y 3.49-3.50, 4 Tb 3.50-3.63
Tb 0.2497 0.8734 0.8341  6 Er 3.49-3.64, 2 Y 3.49-3.50, 4 Tb 3.50-3.63
Tb 0.5000 0.8733 0.5000  6 Er 3.49-3.65, 4 Tb 3.50, 2 Y 3.62-3.63
Tb 0.7497 0.1266 0.3341  6 Er 3.49-3.64, 2 Y 3.49-3.50, 4 Tb 3.50-3.63
Tb 0.7503 0.8734 0.8341  6 Er 3.49-3.64, 2 Y 3.49-3.50, 4 Tb 3.50-3.63
Y 0.0000 0.8736 0.4994  6 Tb 3.49-3.63, 6 Er 3.50-3.64
Y 0.5000 0.1264 0.9994  6 Tb 3.49-3.63, 6 Er 3.50-3.64
Er 0.0000 0.3762 0.4997  6 Er 3.49-3.61, 4 Tb 3.49-3.62, 2 Y 3.60-3.64
Er 0.0000 0.6231 0.0001  6 Er 3.48-3.61, 4 Tb 3.49-3.65, 2 Y 3.61-3.62
Er 0.2497 0.3767 0.8321  6 Er 3.48-3.60, 5 Tb 3.49-3.64, 1 Y 3.50
Er 0.2503 0.6233 0.3321  6 Er 3.48-3.60, 5 Tb 3.49-3.64, 1 Y 3.50
Er 0.5000 0.3769 0.5001  6 Er 3.48-3.61, 4 Tb 3.49-3.65, 2 Y 3.61-3.62
Er 0.5000 0.6238 0.9997  6 Er 3.49-3.61, 4 Tb 3.49-3.62, 2 Y 3.60-3.64
Er 0.7503 0.3767 0.8321  6 Er 3.48-3.60, 5 Tb 3.49-3.64, 1 Y 3.50
Er 0.7497 0.6233 0.3321  6 Er 3.48-3.60, 5 Tb 3.49-3.64, 1 Y 3.50

=====

Of them, the most stable is entry two and the least stable is entry one.

=====

Entry one
Here is a relaxed structure of Tb12YEr6 from Alexandria. Energies are from PBE.

Output
- Magnetization: 0.000 Bohr magnetons per cell
- Calculated volume: 653.4 Å³ per cell

a = 9.3104 Å, b = 9.3104 Å, c = 9.3104 Å
α = 107.98°, β = 107.98°, γ = 107.98°
Closest atoms and distances in Å follow each position.
Positions (direct):
Tb 0.0000 0.3893 0.6107  4 Er 3.29-3.40, 5 Tb 3.33-3.63
Tb 0.0000 0.6107 0.3893  4 Er 3.29-3.40, 5 Tb 3.33-3.63
Tb 0.1354 0.1354 0.3518  1 Er 3.07, 2 Tb 3.26
Tb 0.1354 0.3518 0.1354  1 Er 3.07, 2 Tb 3.26
Tb 0.3518 0.1354 0.1354  1 Er 3.07, 2 Tb 3.26
Tb 0.3893 0.0000 0.6107  4 Er 3.29-3.40, 5 Tb 3.33-3.63
Tb 0.3893 0.6107 0.0000  4 Er 3.29-3.40, 5 Tb 3.33-3.63
Tb 0.6107 0.0000 0.3893  4 Er 3.29-3.40, 5 Tb 3.33-3.63
Tb 0.6107 0.3893 0.0000  4 Er 3.29-3.40, 5 Tb 3.33-3.63
Tb 0.6482 0.8646 0.8646  1 Er 3.07, 2 Tb 3.26
Tb 0.8646 0.6482 0.8646  1 Er 3.07, 2 Tb 3.26
Tb 0.8646 0.8646 0.6482  1 Er 3.07, 2 Tb 3.26
Y 0.5000 0.5000 0.5000  6 Tb 3.47
Er 0.1841 0.1841 0.7633  5 Tb 3.07-3.40
Er 0.1841 0.7633 0.1841  5 Tb 3.07-3.40
Er 0.2367 0.8159 0.8159  5 Tb 3.07-3.40
Er 0.7633 0.1841 0.1841  5 Tb 3.07-3.40
Er 0.8159 0.2367 0.8159  5 Tb 3.07-3.40
Er 0.8159 0.8159 0.2367  5 Tb 3.07-3.40

=====

Entry two
Here is a relaxed structure of Tb12YEr6 from Alexandria. Energies are from PBE.

Output
- Magnetization: 0.000 Bohr magnetons per cell
- Calculated volume: 615.7 Å³ per cell

a = 8.5100 Å, b = 8.5100 Å, c = 8.5100 Å
α = 88.50°, β = 88.50°, γ = 88.50°
Closest atoms and distances in Å follow each position.
Positions (direct):
Tb 0.0123 0.3589 0.2026  4 Tb 3.42-3.57, 4 Er 3.49-3.66, 1 Y 3.55
Tb 0.2026 0.0123 0.3589  4 Tb 3.42-3.57, 4 Er 3.49-3.66, 1 Y 3.55
Tb 0.2240 0.5661 0.4586  3 Er 3.26-3.44, 6 Tb 3.28-3.60
Tb 0.3589 0.2026 0.0123  4 Tb 3.42-3.57, 4 Er 3.49-3.66, 1 Y 3.55
Tb 0.4339 0.5414 0.7760  3 Er 3.26-3.44, 6 Tb 3.28-3.60
Tb 0.4586 0.2240 0.5661  3 Er 3.26-3.44, 6 Tb 3.28-3.60
Tb 0.5414 0.7760 0.4339  3 Er 3.26-3.44, 6 Tb 3.28-3.60
Tb 0.5661 0.4586 0.2240  3 Er 3.26-3.44, 6 Tb 3.28-3.60
Tb 0.6411 0.7974 0.9877  4 Tb 3.42-3.57, 4 Er 3.49-3.66, 1 Y 3.55
Tb 0.7760 0.4339 0.5414  3 Er 3.26-3.44, 6 Tb 3.28-3.60
Tb 0.7974 0.9877 0.6411  4 Tb 3.42-3.57, 4 Er 3.49-3.66, 1 Y 3.55
Tb 0.9877 0.6411 0.7974  4 Tb 3.42-3.57, 4 Er 3.49-3.66, 1 Y 3.55
Y 0.0000 0.0000 0.0000  6 Er 3.46, 6 Tb 3.55
Er 0.0950 0.2586 0.6936  6 Tb 3.26-3.58, 1 Y 3.46, 2 Er 3.49
Er 0.2586 0.6936 0.0950  6 Tb 3.26-3.58, 1 Y 3.46, 2 Er 3.49
Er 0.3064 0.9050 0.7414  6 Tb 3.26-3.58, 1 Y 3.46, 2 Er 3.49
Er 0.6936 0.0950 0.2586  6 Tb 3.26-3.58, 1 Y 3.46, 2 Er 3.49
Er 0.7414 0.3064 0.9050  6 Tb 3.26-3.58, 1 Y 3.46, 2 Er 3.49
Er 0.9050 0.7414 0.3064  6 Tb 3.26-3.58, 1 Y 3.46, 2 Er 3.49

=====

Of them, the most stable is entry two and the least stable is entry one.

=====

Entry one
Here is a relaxed structure of TbY2Er9 from Alexandria. Energies are from PBE.

Output
- Magnetization: 0.000 Bohr magnetons per cell
- Calculated volume: 371.1 Å³ per cell

a = 4.9822 Å, b = 4.9822 Å, c = 14.9482 Å
α = 90.00°, β = 90.00°, γ = 90.00°
Closest atoms and distances in Å follow each position.
Positions (direct):
Tb 0.0000 0.0000 0.0000  12 Er 3.52
Y 0.0000 0.0000 0.3332  12 Er 3.52-3.53
Y 0.0000 0.0000 0.6668  12 Er 3.52-3.53
Er 0.0000 0.5000 0.1662  8 Er 3.52-3.53, 2 Tb 3.52, 2 Y 3.53
Er 0.0000 0.5000 0.5000  8 Er 3.52, 4 Y 3.52
Er 0.0000 0.5000 0.8338  8 Er 3.52-3.53, 2 Tb 3.52, 2 Y 3.53
Er 0.5000 0.0000 0.1662  8 Er 3.52-3.53, 2 Tb 3.52, 2 Y 3.53
Er 0.5000 0.0000 0.5000  8 Er 3.52, 4 Y 3.52
Er 0.5000 0.0000 0.8338  8 Er 3.52-3.53, 2 Tb 3.52, 2 Y 3.53
Er 0.5000 0.5000 0.0000  8 Er 3.52, 4 Tb 3.52
Er 0.5000 0.5000 0.3333  4 Y 3.52, 8 Er 3.52-3.53
Er 0.5000 0.5000 0.6667  4 Y 3.52, 8 Er 3.52-3.53

=====

Entry two
Here is a relaxed structure of TbY2Er9 from Alexandria. Energies are from PBE.

Output
- Magnetization: 0.002 Bohr magnetons per cell
- Calculated volume: 373.4 Å³ per cell

a = 11.1445 Å, b = 11.1445 Å, c = 3.4711 Å
α = 90.00°, β = 90.00°, γ = 120.00°
Closest atoms and distances in Å follow each position.
Positions (direct):
Tb 0.0000 0.0000 0.0000  2 Tb 3.47, 12 Er 3.82
Y 0.3333 0.6667 0.0000  9 Er 3.22-3.50, 2 Y 3.47
Y 0.6667 0.3333 0.0000  9 Er 3.22-3.50, 2 Y 3.47
Er 0.0000 0.5000 0.0000  2 Y 3.22, 10 Er 3.47-3.58
Er 0.1761 0.3523 0.5000  8 Er 3.40-3.58, 2 Y 3.50
Er 0.1761 0.8239 0.5000  8 Er 3.40-3.58, 2 Y 3.50
Er 0.3523 0.1761 0.5000  8 Er 3.40-3.58, 2 Y 3.50
Er 0.5000 0.0000 0.0000  2 Y 3.22, 10 Er 3.47-3.58
Er 0.5000 0.5000 0.0000  2 Y 3.22, 10 Er 3.47-3.58
Er 0.6477 0.8239 0.5000  8 Er 3.40-3.58, 2 Y 3.50
Er 0.8239 0.1761 0.5000  8 Er 3.40-3.58, 2 Y 3.50
Er 0.8239 0.6477 0.5000  8 Er 3.40-3.58, 2 Y 3.50

=====

Of them, the most stable is entry one and the least stable is entry two.